(1)
The following is a DFT calculation (PBE) of a relaxed Pu3Zr3NbN8 crystal.

CIF file:
```
data_Pu3Zr3NbN8
_chemical_formula_sum 'Pu9 Zr9 Nb3 N24'
_cell_length_a 6.5559
_cell_length_b 6.5559
_cell_length_c 16.6050
_cell_angle_alpha 90.00
_cell_angle_beta 90.00
_cell_angle_gamma 120.00
_symmetry_space_group_name_H-M 'R -3 m'
_symmetry_Int_Tables_number 166
_symmetry_space_group_name_Hall '-R 3 2"'
loop_
_atom_site_label
_atom_site_fract_x
_atom_site_fract_y
_atom_site_fract_z
Pu1 0.0000 0.5000 0.0000
Zr1 0.0000 0.5000 0.5000
Nb1 0.0000 0.0000 0.5000
N1 0.0000 0.0000 0.2439
N2 0.0182 0.5091 0.2417
```

Calculated values
Its theoretical density is 9.8 g cm⁻³. The value obtained for the total magnetic moment is 13.72 μB/f.u. The electronic total energy is -11.04 eV/atom. For the calculated volume, the calculation gives 618.1 Å³/cell.

=====

(2)
The following is a DFT calculation (PBE) of a relaxed Pu3Zr2NbN6 crystal.

CIF file:
```
data_Pu3Zr2NbN6
_chemical_formula_sum 'Pu6 Zr4 Nb2 N12'
_cell_length_a 5.769
_cell_length_b 9.994
_cell_length_c 5.800
_cell_angle_alpha 90.00
_cell_angle_beta 109.33
_cell_angle_gamma 90.00
_symmetry_space_group_name_H-M 'C 1 2/m 1'
_symmetry_Int_Tables_number 12
_symmetry_space_group_name_Hall '-C 2y'
loop_
_atom_site_label
_atom_site_fract_x
_atom_site_fract_y
_atom_site_fract_z
Pu1 0.000 0.000 0.000
Pu2 0.000 0.334 0.000
Zr1 0.000 0.167 0.500
Nb1 0.000 0.500 0.500
N1 0.244 0.334 0.734
N2 0.246 0.000 0.733
```

Calculated values
Its theoretical density is 11.5 g cm⁻³. The value obtained for the total magnetic moment is 13.60 μB/f.u. The electronic total energy is -11.43 eV/atom. For the calculated volume, the calculation gives 315.5 Å³/cell.

=====

(3)
The following is a DFT calculation (PBE) of a relaxed RbNbN3 crystal.

CIF file:
```
data_RbNbN3
_chemical_formula_sum 'Rb1 Nb1 N3'
_cell_length_a 4.086
_cell_length_b 4.086
_cell_length_c 4.086
_cell_angle_alpha 90.00
_cell_angle_beta 90.00
_cell_angle_gamma 90.00
_symmetry_space_group_name_H-M 'P m -3 m'
_symmetry_Int_Tables_number 221
_symmetry_space_group_name_Hall '-P 4 2 3'
loop_
_atom_site_label
_atom_site_fract_x
_atom_site_fract_y
_atom_site_fract_z
Rb1 0.000 0.000 0.000
Nb1 0.500 0.500 0.500
N1 0.000 0.000 0.500
```

Calculated values
Its theoretical density is 5.4 g cm⁻³. The value obtained for the total magnetic moment is 0.00 μB/f.u. The electronic total energy is -4.06 eV/atom. For the calculated volume, the calculation gives 68.2 Å³/cell.

=====

(4)
The following is a DFT calculation (PBE) of a relaxed Rb3Nb5N12 crystal.

CIF file:
```
data_Rb3Nb5N12
_chemical_formula_sum 'Rb24 Nb40 N96'
_cell_length_a 14.071
_cell_length_b 14.071
_cell_length_c 14.071
_cell_angle_alpha 90.00
_cell_angle_beta 90.00
_cell_angle_gamma 90.00
_symmetry_space_group_name_H-M 'I a -3 d'
_symmetry_Int_Tables_number 230
_symmetry_space_group_name_Hall '-I 4bd 2c 3'
loop_
_atom_site_label
_atom_site_fract_x
_atom_site_fract_y
_atom_site_fract_z
Rb1 0.000 0.250 0.125
Nb1 0.000 0.000 0.000
Nb2 0.000 0.250 0.375
N1 0.028 0.140 0.957
```

Calculated values
Its theoretical density is 4.2 g cm⁻³. The value obtained for the total magnetic moment is 8.05 μB/f.u. The electronic total energy is -7.59 eV/atom. For the calculated volume, the calculation gives 2785.9 Å³/cell.